Run one
Below is NbTl3Cd after structural relaxation, with properties calculated at the GGA-PBE level.

N(E_F), states/eV/atom: 1.580

a = 5.551 Å, b = 5.551 Å, c = 5.551 Å
α = 90.00°, β = 90.00°, γ = 90.00°
Sites, in units of the cell vectors:
Tl: 0.500 0.000 0.000
Cd: 0.000 0.000 0.000
Tl: 0.000 0.000 0.500
Tl: 0.000 0.500 0.000
Nb: 0.500 0.500 0.500


Run two
Below is NbTl3Cd after structural relaxation, with properties calculated at the GGA-PBE level.

N(E_F), states/eV/atom: 0.966

a = 5.581 Å, b = 5.581 Å, c = 5.581 Å
α = 90.00°, β = 90.00°, γ = 90.00°
Sites, in units of the cell vectors:
Tl: 0.500 0.000 0.000
Nb: 0.000 0.000 0.000
Cd: 0.500 0.500 0.500
Tl: 0.000 0.500 0.000
Tl: 0.000 0.000 0.500


Top of the stability list: run two, leading by 512 meV per atom.


Run one
Below is Tm2NbCd after structural relaxation, with properties calculated at the GGA-PBE level.

N(E_F), states/eV/atom: 0.977

a = 3.323 Å, b = 3.323 Å, c = 8.728 Å
α = 90.00°, β = 90.00°, γ = 90.00°
Sites, in units of the cell vectors:
Tm: 0.000 0.000 0.240
Tm: 0.000 0.000 0.760
Nb: 0.500 0.500 0.000
Cd: 0.500 0.500 0.500


Run two
Below is Tm2NbCd after structural relaxation, with properties calculated at the GGA-PBE level.

N(E_F), states/eV/atom: 1.257

a = 3.165 Å, b = 3.165 Å, c = 11.556 Å
α = 82.13°, β = 82.13°, γ = 60.00°
Sites, in units of the cell vectors:
Tm: 0.086 0.086 0.743
Cd: 0.500 0.500 0.500
Nb: 0.000 0.000 0.000
Tm: 0.914 0.914 0.257


Top of the stability list: run one, leading by 450 meV per atom.


Run one
Below is NbVCd2 after structural relaxation, with properties calculated at the GGA-PBE level.

N(E_F), states/eV/atom: 0.839

a = 7.662 Å, b = 7.662 Å, c = 6.047 Å
α = 50.69°, β = 50.69°, γ = 90.00°
Sites, in units of the cell vectors:
Cd: 0.142 0.625 0.250
V: 0.250 0.750 0.500
Cd: 0.375 0.392 0.750
Nb: 0.000 0.000 0.000
Cd: 0.608 0.125 0.250
Nb: 0.750 0.250 0.500
Cd: 0.875 0.858 0.750
V: 0.500 0.500 0.000


Run two
Below is NbVCd2 after structural relaxation, with properties calculated at the GGA-PBE level.

N(E_F), states/eV/atom: 1.129

a = 4.735 Å, b = 4.735 Å, c = 4.735 Å
α = 60.00°, β = 60.00°, γ = 60.00°
Sites, in units of the cell vectors:
Cd: 0.750 0.750 0.750
Nb: 0.500 0.500 0.500
Cd: 0.250 0.250 0.250
V: 0.000 0.000 0.000


Top of the stability list: run two, leading by 263 meV per atom.


Run one
Below is YNbCd2 after structural relaxation, with properties calculated at the GGA-PBE level.

N(E_F), states/eV/atom: 1.138

a = 4.256 Å, b = 4.256 Å, c = 11.332 Å
α = 79.18°, β = 79.18°, γ = 90.00°
Sites, in units of the cell vectors:
Y: 0.500 0.500 0.000
Cd: 0.101 0.625 0.250
Nb: 0.750 0.250 0.500
Cd: 0.375 0.351 0.750
Y: 0.250 0.750 0.500
Cd: 0.649 0.125 0.250
Nb: 0.000 0.000 0.000
Cd: 0.875 0.899 0.750


Run two
Below is YNbCd2 after structural relaxation, with properties calculated at the GGA-PBE level.

N(E_F), states/eV/atom: 0.165

a = 5.022 Å, b = 5.022 Å, c = 5.022 Å
α = 60.00°, β = 60.00°, γ = 60.00°
Sites, in units of the cell vectors:
Nb: 0.500 0.500 0.500
Cd: 0.250 0.250 0.250
Cd: 0.750 0.750 0.750
Y: 0.000 0.000 0.000


Top of the stability list: run two, leading by 412 meV per atom.


Run one
Below is NbZnCd3 after structural relaxation, with properties calculated at the GGA-PBE level.

N(E_F), states/eV/atom: 0.685

a = 5.677 Å, b = 5.677 Å, c = 5.677 Å
α = 90.00°, β = 90.00°, γ = 90.00°
Sites, in units of the cell vectors:
Nb: 0.000 0.000 0.000
Cd: 0.000 0.000 0.500
Zn: 0.500 0.500 0.500
Cd: 0.500 0.000 0.000
Cd: 0.000 0.500 0.000


Run two
Below is NbZnCd3 after structural relaxation, with properties calculated at the GGA-PBE level.

N(E_F), states/eV/atom: 0.995

a = 4.901 Å, b = 4.901 Å, c = 4.901 Å
α = 90.00°, β = 90.00°, γ = 90.00°
Sites, in units of the cell vectors:
Cd: 0.000 0.000 0.500
Nb: 0.500 0.500 0.500
Zn: 0.000 0.000 0.000
Cd: 0.000 0.500 0.000
Cd: 0.500 0.000 0.000


Top of the stability list: run two, leading by 164 meV per atom.


Run one
Below is NbZn2Cd2 after structural relaxation, with properties calculated at the GGA-PBE level.

N(E_F), states/eV/atom: 0.810

a = 7.667 Å, b = 7.667 Å, c = 3.052 Å
α = 90.00°, β = 90.00°, γ = 90.00°
Sites, in units of the cell vectors:
Cd: 0.824 0.324 0.500
Zn: 0.125 0.375 0.000
Cd: 0.176 0.676 0.500
Zn: 0.875 0.625 0.000
Nb: 0.500 0.500 0.000
Zn: 0.625 0.125 0.000
Nb: 0.000 0.000 0.000
Cd: 0.324 0.176 0.500
Cd: 0.676 0.824 0.500
Zn: 0.375 0.875 0.000


Run two
Below is NbZn2Cd2 after structural relaxation, with properties calculated at the GGA-PBE level.

N(E_F), states/eV/atom: 0.512

a = 7.941 Å, b = 7.941 Å, c = 2.871 Å
α = 90.00°, β = 90.00°, γ = 90.00°
Sites, in units of the cell vectors:
Cd: 0.371 0.871 0.000
Zn: 0.173 0.673 0.500
Cd: 0.129 0.371 0.000
Zn: 0.673 0.827 0.500
Nb: 0.500 0.500 0.000
Cd: 0.629 0.129 0.000
Cd: 0.871 0.629 0.000
Nb: 0.000 0.000 0.000
Zn: 0.827 0.327 0.500
Zn: 0.327 0.173 0.500


Run three
Below is NbZn2Cd2 after structural relaxation, with properties calculated at the GGA-PBE level.

N(E_F), states/eV/atom: 0.736

a = 3.893 Å, b = 3.893 Å, c = 6.834 Å
α = 73.45°, β = 73.45°, γ = 90.00°
Sites, in units of the cell vectors:
Zn: 0.750 0.250 0.500
Cd: 0.395 0.395 0.209
Nb: 0.000 0.000 0.000
Zn: 0.250 0.750 0.500
Cd: 0.605 0.605 0.791


Top of the stability list: run one, leading by 67 meV per atom.